DFT (PBE-GGA) results for a geometry-optimized TbHf2Sc6 structure.

a = 3.292 Å, b = 3.292 Å, c = 23.838 Å
α = 90.00°, β = 90.00°, γ = 120.00°
Element x y z (fractional)
Sc 0.667 0.333 0.228
Sc 0.333 0.667 0.118
Sc 0.333 0.667 0.882
Sc 0.667 0.333 0.772
Sc 0.667 0.333 0.436
Sc 0.667 0.333 0.564
Hf 0.333 0.667 0.667
Hf 0.333 0.667 0.333
Tb 0.667 0.333 0.000

Summary:
- formation energy (eV per atom) = 0.056
- SG = P-6m2 (187)
- spin magnetization (Bohr magnetons per cell) = 1.7
- ρ (g cm⁻³) = 5.831
- electronic total energy (eV per atom) = -6.892